The following is a PBE calculation of a relaxed BeNbHRh2 crystal, from Alexandria.

Cell lengths 3.9420, 3.9420, 3.7556 Å; angles 90.00, 90.00, 90.00 degrees
Last column: nearest neighbours and their distance in Å.
Space group P4/mmm (No. 123)
Asymmetric unit:
Be 0.0000 0.0000 0.0000 (multiplicity 1)  2 H 1.88
Nb 0.5000 0.5000 0.0000 (multiplicity 1)  8 Rh 2.72, 4 Be 2.79
H 0.0000 0.0000 0.5000 (multiplicity 1)  2 Be 1.88, 4 Rh 1.97
Rh 0.0000 0.5000 0.5000 (multiplicity 2)  2 H 1.97

Calculated values
ρ = 8.78 g cm⁻³
D(E_F) = 4.775 states/eV per cell
Total energy = -6.49 eV per atom